No. 1
! Cu3SbAu GGA-PBE relaxed; values from VASP
! Size of the total moment ... 0.00 μB per cell
! Offset from the most stable computed form ... 13 meV/atom
! Uncorrected formation energy ... 67.5 kJ per mole of atoms
! VASP energy ... -3.239 eV/atom
&SYSTEM
  ibrav = 0, nat = 5, ntyp = 3
/
ATOMIC_SPECIES
Sb 121.76 Sb.upf
Au 196.97 Au.upf
Cu 63.55 Cu.upf
CELL_PARAMETERS angstrom
-1.323 -4.626 0.026
1.065 -0.331 -4.680
4.501 -1.282 1.115
ATOMIC_POSITIONS crystal
Sb 0.000 0.000 0.000
Au 0.500 0.500 0.500
Cu 0.000 0.500 0.000
Cu 0.000 0.000 0.500
Cu 0.500 0.000 0.000

No. 2
! ScCl GGA-PBE relaxed; values from VASP
! Size of the total moment ... 3.79 μB per cell
! Uncorrected formation energy ... -110.9 kJ per mole of atoms
! VASP energy ... -5.238 eV/atom
&SYSTEM
  ibrav = 0, nat = 12, ntyp = 2
/
ATOMIC_SPECIES
Sc 44.96 Sc.upf
Cl 35.45 Cl.upf
CELL_PARAMETERS angstrom
-3.330 -9.113 -1.139
3.951 4.739 -7.574
3.139 -1.253 0.853
ATOMIC_POSITIONS crystal
Sc 0.864 0.364 0.250
Sc 0.500 0.864 0.750
Sc 0.636 0.500 0.250
Sc 0.136 0.636 0.750
Sc 0.500 0.136 0.250
Sc 0.364 0.500 0.750
Cl 0.714 0.047 0.250
Cl 0.667 0.714 0.750
Cl 0.953 0.667 0.250
Cl 0.286 0.953 0.750
Cl 0.333 0.286 0.250
Cl 0.047 0.333 0.750

No. 3
! K2LaTlO4 GGA-PBE relaxed; values from VASP
! Size of the total moment ... 0.00 μB per cell
! Uncorrected formation energy ... -175.3 kJ per mole of atoms
! VASP energy ... -5.482 eV/atom
&SYSTEM
  ibrav = 0, nat = 8, ntyp = 4
/
ATOMIC_SPECIES
K 39.10 K.upf
La 138.91 La.upf
Tl 204.38 Tl.upf
O 16.00 O.upf
CELL_PARAMETERS angstrom
-0.363 -3.503 -0.843
4.697 0.478 -4.013
2.399 -1.696 6.016
ATOMIC_POSITIONS crystal
K 0.500 0.000 0.500
K 0.000 0.500 0.500
La 0.500 0.500 0.000
Tl 0.000 0.000 0.000
O 0.500 0.222 0.198
O 0.500 0.778 0.802
O 0.000 0.271 0.799
O 0.000 0.729 0.201

No. 4
! Mn2AlCr GGA-PBE relaxed; values from VASP
! Formation energy ... 7 meV/atom
! Size of the total moment ... 2.13 μB per cell
! VASP energy ... -7.919 eV/atom
&SYSTEM
  ibrav = 0, nat = 4, ntyp = 3
/
ATOMIC_SPECIES
Cr 52.00 Cr.upf
Mn 54.94 Mn.upf
Al 26.98 Al.upf
CELL_PARAMETERS angstrom
2.546 0.000 0.000
-0.917 2.375 0.000
0.000 0.000 7.945
ATOMIC_POSITIONS crystal
Cr 0.500 0.500 0.750
Mn 0.000 0.000 0.991
Mn 0.000 0.000 0.509
Al 0.500 0.500 0.250

No. 5
! TiNb2Cr2 GGA-PBE relaxed; values from VASP
! Formation energy ... 287 meV/atom
! Size of the total moment ... 3.93 μB per cell
! VASP energy ... -9.169 eV/atom
&SYSTEM
  ibrav = 0, nat = 10, ntyp = 3
/
ATOMIC_SPECIES
Cr 52.00 Cr.upf
Nb 92.91 Nb.upf
Ti 47.87 Ti.upf
CELL_PARAMETERS angstrom
6.914 0.000 0.000
0.000 6.914 0.000
0.000 0.000 3.348
ATOMIC_POSITIONS crystal
Cr 0.372 0.872 0.000
Cr 0.872 0.628 0.000
Cr 0.628 0.128 0.000
Cr 0.128 0.372 0.000
Nb 0.176 0.676 0.500
Nb 0.676 0.824 0.500
Nb 0.824 0.324 0.500
Nb 0.324 0.176 0.500
Ti 0.000 0.000 0.000
Ti 0.500 0.500 0.000

No. 6
! Li2ScCd GGA-PBE relaxed; values from VASP
! Formation energy ... -24 meV/atom
! Size of the total moment ... 0.26 μB per cell
! Offset from the most stable computed form ... 56 meV/atom
! VASP energy ... -2.792 eV/atom
&SYSTEM
  ibrav = 0, nat = 4, ntyp = 3
/
ATOMIC_SPECIES
Cd 112.41 Cd.upf
Li 6.94 Li.upf
Sc 44.96 Sc.upf
CELL_PARAMETERS angstrom
3.441 0.000 0.000
0.000 3.441 0.000
0.000 0.000 6.630
ATOMIC_POSITIONS crystal
Cd 0.500 0.500 0.750
Li 0.000 0.000 0.970
Li 0.000 0.000 0.530
Sc 0.500 0.500 0.250

No. 7
! TaVPd2 GGA-PBE relaxed; values from VASP
! Formation energy ... -21 meV/atom
! Size of the total moment ... 2.87 μB per cell
! Offset from the most stable computed form ... 0 meV/atom
! VASP energy ... -7.860 eV/atom
&SYSTEM
  ibrav = 0, nat = 4, ntyp = 3
/
ATOMIC_SPECIES
Ta 180.95 Ta.upf
Pd 106.42 Pd.upf
V 50.94 V.upf
CELL_PARAMETERS angstrom
2.744 -0.907 3.455
2.508 3.277 1.805
-0.962 1.567 4.112
ATOMIC_POSITIONS crystal
Ta 0.500 0.500 0.500
Pd 0.250 0.250 0.250
Pd 0.750 0.750 0.750
V 0.000 0.000 0.000

No. 8
! K2Rb3I3Cl2 GGA-PBE relaxed; values from VASP
! Size of the total moment ... 0.07 μB per cell
! Uncorrected formation energy ... -155.9 kJ per mole of atoms
! VASP energy ... -2.960 eV/atom
&SYSTEM
  ibrav = 0, nat = 10, ntyp = 4
/
ATOMIC_SPECIES
K 39.10 K.upf
Rb 85.47 Rb.upf
I 126.90 I.upf
Cl 35.45 Cl.upf
CELL_PARAMETERS angstrom
-2.150 5.133 0.020
-4.614 -1.923 -2.445
-3.018 -4.341 15.441
ATOMIC_POSITIONS crystal
K 0.750 0.250 0.500
K 0.250 0.750 0.500
Rb 0.887 0.887 0.773
Rb 0.500 0.500 0.000
Rb 0.113 0.113 0.227
I 0.621 0.621 0.241
I 0.379 0.379 0.759
I 0.000 0.000 0.000
Cl 0.785 0.785 0.571
Cl 0.215 0.215 0.429

No. 9
! VCrCuBr GGA-PBE relaxed; values from VASP
! Size of the total moment ... 2.30 μB per cell
! Offset from the most stable computed form ... 23 meV/atom
! Uncorrected formation energy ... 27.5 kJ per mole of atoms
! VASP energy ... -5.842 eV/atom
&SYSTEM
  ibrav = 0, nat = 8, ntyp = 4
/
ATOMIC_SPECIES
Cr 52.00 Cr.upf
Cu 63.55 Cu.upf
Br 79.90 Br.upf
V 50.94 V.upf
CELL_PARAMETERS angstrom
7.042 0.000 0.031
0.000 4.361 0.000
-1.112 0.000 4.512
ATOMIC_POSITIONS crystal
Cr 0.387 0.000 0.931
Cr 0.387 0.500 0.431
Cu 0.187 0.000 0.356
Cu 0.187 0.500 0.856
Br 0.826 0.000 0.164
Br 0.826 0.500 0.664
V 0.569 0.000 0.475
V 0.569 0.500 0.975

No. 10
! Ac2Cd3Ga GGA-PBE relaxed; values from VASP
! Formation energy ... -375 meV/atom
! Size of the total moment ... 0.00 μB per cell
! Offset from the most stable computed form ... 0 meV/atom
! VASP energy ... -2.706 eV/atom
&SYSTEM
  ibrav = 0, nat = 12, ntyp = 3
/
ATOMIC_SPECIES
Ac 227.00 Ac.upf
Cd 112.41 Cd.upf
Ga 69.72 Ga.upf
CELL_PARAMETERS angstrom
6.177 -0.161 -1.805
-1.736 5.930 -1.805
0.122 0.158 9.550
ATOMIC_POSITIONS crystal
Ac 0.250 0.750 0.500
Ac 0.756 0.756 0.000
Ac 0.750 0.250 0.500
Ac 0.244 0.244 0.000
Cd 0.341 0.828 0.169
Cd 0.172 0.659 0.831
Cd 0.659 0.172 0.831
Cd 0.828 0.341 0.169
Cd 0.170 0.170 0.340
Cd 0.830 0.830 0.660
Ga 0.665 0.665 0.331
Ga 0.335 0.335 0.669

No. 11
! K2PrIO6 GGA-PBE relaxed; values from VASP
! Size of the total moment ... 0.00 μB per cell
! Uncorrected formation energy ... -159.1 kJ per mole of atoms
! VASP energy ... -5.476 eV/atom
&SYSTEM
  ibrav = 0, nat = 10, ntyp = 4
/
ATOMIC_SPECIES
K 39.10 K.upf
Pr 140.91 Pr.upf
I 126.90 I.upf
O 16.00 O.upf
CELL_PARAMETERS angstrom
-4.338 -3.537 2.239
1.449 -5.109 2.854
-0.752 -0.437 5.966
ATOMIC_POSITIONS crystal
K 0.566 0.566 0.301
K 0.066 0.066 0.802
Pr 0.816 0.816 0.552
I 0.316 0.316 0.052
O 0.540 0.093 0.275
O 0.093 0.092 0.275
O 0.092 0.540 0.275
O 0.539 0.540 0.828
O 0.540 0.093 0.828
O 0.093 0.539 0.828

No. 12
! Zn2CoOs GGA-PBE relaxed; values from VASP
! Formation energy ... 638 meV/atom
! Size of the total moment ... 5.34 μB per cell
! Offset from the most stable computed form ... 568 meV/atom
! VASP energy ... -4.583 eV/atom
&SYSTEM
  ibrav = 0, nat = 8, ntyp = 3
/
ATOMIC_SPECIES
Co 58.93 Co.upf
Zn 65.41 Zn.upf
Os 190.23 Os.upf
CELL_PARAMETERS angstrom
-4.009 -4.389 3.201
-3.125 -1.390 -5.821
-1.897 -4.745 -1.763
ATOMIC_POSITIONS crystal
Co 0.500 0.500 0.000
Co 0.250 0.750 0.500
Zn 0.609 0.125 0.250
Zn 0.141 0.625 0.250
Zn 0.375 0.391 0.750
Zn 0.875 0.859 0.750
Os 0.000 0.000 0.000
Os 0.750 0.250 0.500

No. 13
! SrMgSnP2O8 GGA-PBE relaxed; values from VASP
! Size of the total moment ... 0.00 μB per cell
! Uncorrected formation energy ... -235.9 kJ per mole of atoms
! VASP energy ... -6.888 eV/atom
&SYSTEM
  ibrav = 0, nat = 26, ntyp = 5
/
ATOMIC_SPECIES
Sr 87.62 Sr.upf
Mg 24.30 Mg.upf
Sn 118.71 Sn.upf
P 30.97 P.upf
O 16.00 O.upf
CELL_PARAMETERS angstrom
-1.907 -2.843 4.467
7.876 -1.709 2.412
-3.843 9.608 1.406
ATOMIC_POSITIONS crystal
Sr 0.941 0.255 0.015
Sr 0.059 0.745 0.985
Mg 0.597 0.316 0.609
Mg 0.403 0.684 0.391
Sn 0.036 0.785 0.622
Sn 0.964 0.215 0.378
P 0.862 0.763 0.269
P 0.138 0.237 0.731
P 0.452 0.244 0.236
P 0.548 0.756 0.764
O 0.127 0.411 0.879
O 0.627 0.771 0.320
O 0.109 0.075 0.765
O 0.670 0.581 0.742
O 0.373 0.229 0.680
O 0.439 0.746 0.605
O 0.561 0.254 0.395
O 0.753 0.918 0.868
O 0.891 0.925 0.235
O 0.247 0.082 0.132
O 0.873 0.589 0.121
O 0.090 0.792 0.402
O 0.910 0.208 0.598
O 0.687 0.232 0.179
O 0.330 0.419 0.258
O 0.313 0.768 0.821

No. 14
! Cs5TaCl2O4 GGA-PBE relaxed; values from VASP
! Size of the total moment ... 0.18 μB per cell
! Uncorrected formation energy ... -202.5 kJ per mole of atoms
! VASP energy ... -5.402 eV/atom
&SYSTEM
  ibrav = 0, nat = 12, ntyp = 4
/
ATOMIC_SPECIES
Cs 132.91 Cs.upf
Ta 180.95 Ta.upf
Cl 35.45 Cl.upf
O 16.00 O.upf
CELL_PARAMETERS angstrom
7.329 0.000 0.000
-3.665 5.625 0.000
0.000 0.000 9.296
ATOMIC_POSITIONS crystal
Cs 0.069 0.360 0.207
Cs 0.486 0.000 0.500
Cs 0.069 0.360 0.793
Cs 0.709 0.640 0.793
Cs 0.709 0.640 0.207
Ta 0.409 0.000 0.000
Cl 0.949 0.586 0.500
Cl 0.362 0.414 0.500
O 0.561 0.000 0.163
O 0.561 0.000 0.837
O 0.397 0.274 0.000
O 0.123 0.726 0.000

No. 15
! TaGaH GGA-PBE relaxed; values from VASP
! Size of the total moment ... 0.00 μB per cell
! Offset from the most stable computed form ... 0 meV/atom
! VASP energy ... -6.245 eV/atom
&SYSTEM
  ibrav = 0, nat = 6, ntyp = 3
/
ATOMIC_SPECIES
Ta 180.95 Ta.upf
Ga 69.72 Ga.upf
H 1.01 H.upf
CELL_PARAMETERS angstrom
3.370 -0.315 -0.131
-2.913 5.422 -0.280
-1.725 -2.106 4.517
ATOMIC_POSITIONS crystal
Ta 0.601 0.809 0.085
Ta 0.399 0.191 0.915
Ga 0.217 0.732 0.472
Ga 0.783 0.268 0.528
H 0.983 0.796 0.877
H 0.017 0.204 0.123

No. 16
! Sc4Ni3Rh GGA-PBE relaxed; values from VASP
! Formation energy ... -628 meV/atom
! Size of the total moment ... 0.00 μB per cell
! VASP energy ... -6.880 eV/atom
&SYSTEM
  ibrav = 0, nat = 8, ntyp = 3
/
ATOMIC_SPECIES
Sc 44.96 Sc.upf
Ni 58.69 Ni.upf
Rh 102.91 Rh.upf
CELL_PARAMETERS angstrom
-1.003 2.697 -1.217
0.637 -1.657 -4.196
-8.541 -3.194 -0.035
ATOMIC_POSITIONS crystal
Sc 0.000 0.000 0.500
Sc 0.000 0.500 0.746
Sc 0.000 0.000 0.000
Sc 0.000 0.500 0.254
Ni 0.500 0.000 0.250
Ni 0.500 0.500 0.500
Ni 0.500 0.000 0.750
Rh 0.500 0.500 0.000

No. 17
! LiPmCuSi GGA-PBE relaxed; values from VASP
! Size of the total moment ... 0.00 μB per cell
! Uncorrected formation energy ... -28.4 kJ per mole of atoms
! VASP energy ... -4.340 eV/atom
&SYSTEM
  ibrav = 0, nat = 4, ntyp = 4
/
ATOMIC_SPECIES
Si 28.09 Si.upf
Li 6.94 Li.upf
Cu 63.55 Cu.upf
Pm 145.00 Pm.upf
CELL_PARAMETERS angstrom
4.573 0.000 0.000
2.286 3.960 0.000
2.286 1.320 3.733
ATOMIC_POSITIONS crystal
Si 0.250 0.250 0.250
Li 0.500 0.500 0.500
Cu 0.000 0.000 0.000
Pm 0.750 0.750 0.750

No. 18
! HgF3 GGA-PBE relaxed; values from VASP
! Size of the total moment ... 0.00 μB per cell
! Offset from the most stable computed form ... 0 meV/atom
! Uncorrected formation energy ... -106.9 kJ per mole of atoms
! VASP energy ... -2.587 eV/atom
&SYSTEM
  ibrav = 0, nat = 4, ntyp = 2
/
ATOMIC_SPECIES
Hg 200.59 Hg.upf
F 19.00 F.upf
CELL_PARAMETERS angstrom
4.328 0.001 0.019
-0.005 4.328 0.019
-0.005 -0.005 4.328
ATOMIC_POSITIONS crystal
Hg 0.000 0.000 0.000
F 0.000 0.500 0.000
F 0.000 0.000 0.500
F 0.500 0.000 0.000

No. 19
! Tl2SiPb GGA-PBE relaxed; values from VASP
! Size of the total moment ... 0.00 μB per cell
! Offset from the most stable computed form ... 80 meV/atom
! Uncorrected formation energy ... 33.9 kJ per mole of atoms
! VASP energy ... -3.115 eV/atom
&SYSTEM
  ibrav = 0, nat = 4, ntyp = 3
/
ATOMIC_SPECIES
Pb 207.20 Pb.upf
Si 28.09 Si.upf
Tl 204.38 Tl.upf
CELL_PARAMETERS angstrom
6.041 -0.144 0.000
2.586 5.461 0.000
-4.313 -2.659 3.292
ATOMIC_POSITIONS crystal
Pb 0.250 0.750 0.500
Si 0.750 0.250 0.500
Tl 0.000 0.000 0.000
Tl 0.500 0.500 0.000

No. 20
! LiLaYBr2 GGA-PBE relaxed; values from VASP
! Size of the total moment ... 0.57 μB per cell
! Uncorrected formation energy ... -29.1 kJ per mole of atoms
! VASP energy ... -3.631 eV/atom
&SYSTEM
  ibrav = 0, nat = 5, ntyp = 4
/
ATOMIC_SPECIES
Y 88.91 Y.upf
Li 6.94 Li.upf
Br 79.90 Br.upf
La 138.91 La.upf
CELL_PARAMETERS angstrom
-2.607 -3.224 2.727
3.402 0.295 3.602
-3.042 4.574 2.498
ATOMIC_POSITIONS crystal
Y 0.500 0.500 0.500
Li 0.000 0.000 0.000
Br 0.000 0.500 0.000
Br 0.500 0.000 0.000
La 0.000 0.000 0.500